No. 1
A geometry-optimized Sr2PrHg10 structure, computed with PBE.

```
Sr2PrHg10
1.0
-1.3310 -6.1676 0.3988
13.0042 -2.7643 0.6512
-0.6017 -0.7139 8.9856
Hg Pr Sr
20 2 4
direct
0.0999 0.3336 0.2241
0.9022 0.0766 0.3475
0.3930 0.1262 0.0704
0.0999 0.1664 0.7241
0.6096 0.8247 0.6004
0.6096 0.6753 0.1004
0.3930 0.3738 0.5704
0.6070 0.8738 0.9296
0.1728 0.7269 0.4737
0.3904 0.1753 0.3996
0.3904 0.3247 0.8996
0.9022 0.4234 0.8475
0.8272 0.2731 0.5263
0.0978 0.9234 0.6525
0.1728 0.7731 0.9737
0.9001 0.8336 0.2759
0.9001 0.6664 0.7759
0.6070 0.6262 0.4296
0.8272 0.2269 0.0263
0.0978 0.5766 0.1525
0.0000 0.5000 0.5000
0.0000 0.0000 0.0000
0.4078 0.5705 0.7938
0.4078 0.9295 0.2938
0.5922 0.4295 0.2062
0.5922 0.0705 0.7062
```

Computed properties:
Raw total energy: -1.151 eV per atom
Magnetic moment: 0.000 μB/f.u.
Symmetry: P2_1/c (14)

---

No. 2
A geometry-optimized Ce12Hg6Pt structure, computed with PBE.

```
Ce12Hg6Pt
1.0
7.8524 0.6241 0.7477
-0.5735 7.8562 0.7477
-0.5735 -0.6682 7.8634
Hg Ce Pt
6 12 1
direct
0.7282 0.2664 0.0921
0.2664 0.0921 0.7282
0.9079 0.2718 0.7336
0.0921 0.7282 0.2664
0.7336 0.9079 0.2718
0.2718 0.7336 0.9079
0.6471 0.9303 0.8598
0.9303 0.8598 0.6471
0.8598 0.6471 0.9303
0.3529 0.0697 0.1402
0.4125 0.7734 0.5056
0.7734 0.5056 0.4125
0.0697 0.1402 0.3529
0.1402 0.3529 0.0697
0.4944 0.5875 0.2266
0.2266 0.4944 0.5875
0.5056 0.4125 0.7734
0.5875 0.2266 0.4944
0.0000 0.0000 0.0000
```

Computed properties:
Raw total energy: -4.345 eV per atom
Magnetic moment: 4.869 μB/f.u.
Symmetry: R-3 (148)

---

Going through the records in order, we get formation energy from the elements values of -0.293 -0.184 eV per atom.